(1)
A relaxed structure of RePPb2. Source: Alexandria, functional GGA-PBE.

## Properties
- energy of formation (eV/atom) = 0.426
- magnetization (μB/f.u.) = 0.000

Structure (POSCAR):
```
RePPb2
1.0
3.879 0.000 0.000
0.000 3.488 0.023
0.000 1.647 7.096
Re P Pb
1 1 2
direct
0.000 0.662 0.548
0.500 0.583 0.712
0.000 0.983 0.917
0.500 0.272 0.323
```

***

(2)
A relaxed structure of TlNiRh3. Source: Alexandria, functional GGA-PBE.

## Properties
- energy of formation (eV/atom) = 0.863
- magnetization (μB/f.u.) = 2.864

Structure (POSCAR):
```
TlNiRh3
1.0
-3.204 -2.736 -1.684
2.069 0.061 -4.037
2.457 -3.619 1.205
Ni Tl Rh
1 1 3
direct
0.000 0.000 0.000
0.500 0.500 0.500
0.000 0.500 0.000
0.000 0.000 0.500
0.500 0.000 0.000
```

***

(3)
A relaxed structure of KCr2Cl. Source: Alexandria, functional GGA-PBE.

## Properties
- formation energy without anion corrections (eV/atom) = 0.332
- magnetization (μB/f.u.) = 0.388

Structure (POSCAR):
```
KCr2Cl
1.0
-6.210 0.868 -1.185
-1.364 -2.519 -5.702
1.674 -0.657 6.123
Cr K Cl
2 1 1
direct
0.013 0.013 0.000
0.832 0.332 0.500
0.454 0.454 0.000
0.201 0.701 0.500
```

***

(4)
A relaxed structure of K2TcMo. Source: Alexandria, functional GGA-PBE.

## Properties
- energy of formation (eV/atom) = 1.414
- magnetization (μB/f.u.) = 0.000

Structure (POSCAR):
```
K2TcMo
1.0
3.306 0.000 0.000
0.000 4.284 0.000
0.000 0.000 6.069
K Mo Tc
2 1 1
direct
0.000 0.000 0.000
0.500 0.500 0.000
0.500 0.000 0.500
0.000 0.500 0.500
```